No. 1
{"formula": "Dy6Si2PSe3", "functional": "PBE", "state": "optimized geometry", "formation_energy_uncorrected_mev_per_atom": -1476, "mass_density_g_cm3": 7.39, "crystal_system": "monoclinic", "lattice_angstrom": [[8.944, -2.041, 0.000], [8.944, 2.041, 0.000], [-1.954, 0.000, 7.989]], "species": ["Dy", "Dy", "Dy", "Dy", "Dy", "Dy", "Si", "Si", "P", "Se", "Se", "Se"], "frac_coords": [[0.004, 0.004, 0.239], [0.331, 0.331, 0.425], [0.337, 0.337, 0.908], [0.663, 0.663, 0.092], [0.669, 0.669, 0.575], [0.996, 0.996, 0.761], [0.166, 0.166, 0.332], [0.834, 0.834, 0.668], [0.500, 0.500, 0.000], [0.166, 0.166, 0.834], [0.500, 0.500, 0.500], [0.834, 0.834, 0.166]]}

=====

No. 2
{"formula": "Ac2GaPtPb", "functional": "PBE", "state": "optimized geometry", "e_form_mev_per_atom": -744.5, "mass_density_g_cm3": 10.04, "crystal_system": "monoclinic", "lattice_angstrom": [[8.396, 0.000, 0.000], [0.000, 4.620, 0.000], [-2.885, 0.000, 7.894]], "species": ["Ac", "Ac", "Ac", "Ac", "Ga", "Ga", "Pt", "Pt", "Pb", "Pb"], "frac_coords": [[0.082, 0.250, 0.334], [0.334, 0.750, 0.081], [0.666, 0.250, 0.919], [0.918, 0.750, 0.666], [0.243, 0.250, 0.757], [0.757, 0.750, 0.243], [0.058, 0.250, 0.942], [0.942, 0.750, 0.058], [0.380, 0.750, 0.620], [0.620, 0.250, 0.380]]}

=====

No. 3
{"formula": "SrLiZn2Ag", "functional": "PBE", "state": "optimized geometry", "e_form_mev_per_atom": -207.2, "mass_density_g_cm3": 4.98, "crystal_system": "orthorhombic", "lattice_angstrom": [[-2.158, 2.222, 5.790], [2.158, -2.222, 5.790], [2.158, 2.222, -5.790]], "species": ["Sr", "Li", "Zn", "Zn", "Ag"], "frac_coords": [[0.000, 0.000, 0.000], [0.249, 0.749, 0.500], [0.618, 0.618, 0.000], [0.747, 0.247, 0.500], [0.385, 0.385, 0.000]]}